Sr2TlTePt at its PBEsol-relaxed geometry, computed with SCAN.

abc: 5.296 5.703 5.703
angles: 90.00 90.00 90.00
Sites, in units of the cell vectors:
1 Sr 0.000 0.000 0.500
2 Sr 0.000 0.500 0.000
3 Tl 0.500 0.500 0.500
4 Te 0.500 0.000 0.000
5 Pt 0.000 0.000 0.000

Properties
M_tot = 0.000 μB per atom
E_form (uncorrected) = -3.2 eV per formula unit
Fermi-level density of states = 3.34 states/eV per cell



SrTl2Pt at its PBEsol-relaxed geometry, computed with SCAN.

abc: 4.436 4.419 5.006
angles: 89.84 89.87 89.92
Sites, in units of the cell vectors:
1 Pt 0.500 0.000 0.000
2 Sr 0.000 0.500 0.000
3 Tl 0.000 0.000 0.500
4 Tl 0.500 0.500 0.500

Properties
M_tot = 0.000 μB per atom
Fermi-level density of states = 1.65 states/eV per cell
Final energy = -59.617 eV/atom



SrTl2Pt at its PBEsol-relaxed geometry, computed with SCAN.

abc: 3.868 4.541 6.524
angles: 110.37 90.00 90.00
Sites, in units of the cell vectors:
1 Sr 0.500 0.730 0.460
2 Tl 0.000 0.050 0.099
3 Tl 0.500 0.445 0.890
4 Pt 0.000 0.277 0.555

Properties
M_tot = 0.000 μB per atom
Fermi-level density of states = 1.58 states/eV per cell
Final energy = -59.748 eV/atom



Sr2TlPt at its PBEsol-relaxed geometry, computed with SCAN.

abc: 4.511 4.563 6.226
angles: 90.00 111.24 90.00
Sites, in units of the cell vectors:
1 Sr 0.985 0.000 0.969
2 Sr 0.274 0.500 0.547
3 Tl 0.691 0.000 0.382
4 Pt 0.553 0.500 0.106

Properties
M_tot = 0.000 μB per atom
Fermi-level density of states = 2.50 states/eV per cell
Final energy = -47.464 eV/atom



SrTl2Pt at its PBEsol-relaxed geometry, computed with SCAN.

abc: 5.063 5.063 5.063
angles: 60.00 60.00 60.00
Sites, in units of the cell vectors:
1 Pt 0.000 0.000 0.000
2 Sr 0.500 0.500 0.500
3 Tl 0.250 0.250 0.250
4 Tl 0.750 0.750 0.750

Properties
M_tot = 0.000 μB per atom
Fermi-level density of states = 1.39 states/eV per cell
Final energy = -59.616 eV/atom



SrTl2Pt at its PBEsol-relaxed geometry, computed with SCAN.

abc: 3.563 3.563 7.537
angles: 90.00 90.00 90.00
Sites, in units of the cell vectors:
1 Pt 0.500 0.500 0.000
2 Sr 0.500 0.500 0.500
3 Tl 0.000 0.000 0.800
4 Tl 0.000 0.000 0.200

Properties
M_tot = 0.000 μB per atom
Fermi-level density of states = 1.86 states/eV per cell
Final energy = -59.597 eV/atom



no.,calculated density (g/cm³),V (Å³ per cell)
1,6.77,172.2
2,11.70,98.1
3,10.69,107.4
4,7.99,119.4
5,12.51,91.8
6,12.00,95.7